No. 1
# Tl2In3Hg4Pb2 (PBE, relaxed)
# Energy of formation from the pure elements, kcal/mol of atoms: 1.48
data_Tl2In3Hg4Pb2
_chemical_formula_sum 'Tl2 In3 Hg4 Pb2'
_space_group_name_H-M_alt 'P -3 m 1'
_space_group_IT_number 164
_space_group_name_Hall '-P 3 2"'
_cell_length_a 5.1427
_cell_length_b 5.1427
_cell_length_c 14.6844
_cell_angle_alpha 90.00
_cell_angle_beta 90.00
_cell_angle_gamma 120.00
loop_
_atom_site_label
_atom_site_type_symbol
_atom_site_fract_x
_atom_site_fract_y
_atom_site_fract_z
Tl1 Tl 0.3333 0.6667 0.0728
In1 In 0.0000 0.0000 0.2318
In2 In 0.0000 0.0000 0.5000
Hg1 Hg 0.3333 0.6667 0.4091
Hg2 Hg 0.3333 0.6667 0.8578
Pb1 Pb 0.3333 0.6667 0.6482



No. 2
# Zr3TeBr (PBE, relaxed)
# Formation energy (no corrections), eV per atom: 0.33
data_Zr3TeBr
_chemical_formula_sum 'Zr3 Te1 Br1'
_space_group_name_H-M_alt 'P m -3 m'
_space_group_IT_number 221
_space_group_name_Hall '-P 4 2 3'
_cell_length_a 5.010
_cell_length_b 5.010
_cell_length_c 5.010
_cell_angle_alpha 90.00
_cell_angle_beta 90.00
_cell_angle_gamma 90.00
loop_
_atom_site_label
_atom_site_type_symbol
_atom_site_fract_x
_atom_site_fract_y
_atom_site_fract_z
Zr1 Zr 0.000 0.000 0.500
Te1 Te 0.500 0.500 0.500
Br1 Br 0.000 0.000 0.000



No. 3
# ScAl2Sb (PBE, relaxed)
# Formation energy (no corrections), eV per atom: -0.18
data_ScAl2Sb
_chemical_formula_sum 'Sc1 Al2 Sb1'
_space_group_name_H-M_alt 'P 1 2/m 1'
_space_group_IT_number 10
_cell_length_a 3.058
_cell_length_b 4.915
_cell_length_c 5.540
_cell_angle_alpha 90.00
_cell_angle_beta 90.02
_cell_angle_gamma 90.00
loop_
_space_group_symop_operation_xyz
'x,y,z'
'-x,-y,-z'
'-x,y,-z'
'x,-y,z'
loop_
_atom_site_label
_atom_site_type_symbol
_atom_site_fract_x
_atom_site_fract_y
_atom_site_fract_z
Sc1 Sc 0.000 0.000 0.000
Al1 Al 0.498 0.500 0.766
Sb1 Sb 0.500 0.000 0.500



No. 4
# KGePt2 (PBE, relaxed)
# Energy of formation from the pure elements, kcal/mol of atoms: -2.03
data_KGePt2
_chemical_formula_sum 'K2 Ge2 Pt4'
_space_group_name_H-M_alt 'P 4/n m m'
_space_group_IT_number 129
_cell_length_a 4.160
_cell_length_b 4.160
_cell_length_c 9.881
_cell_angle_alpha 90.00
_cell_angle_beta 90.00
_cell_angle_gamma 90.00
loop_
_space_group_symop_operation_xyz
'x,y,z'
'-x,-y,-z'
'-y+1/2,x,z'
'y+1/2,-x,-z'
'-x+1/2,-y+1/2,z'
'x+1/2,y+1/2,-z'
'y,-x+1/2,z'
'-y,x+1/2,-z'
'x+1/2,-y,-z'
'-x+1/2,y,z'
'-y,-x,-z'
'y,x,z'
'-x,y+1/2,-z'
'x,-y+1/2,z'
'y+1/2,x+1/2,-z'
'-y+1/2,-x+1/2,z'
loop_
_atom_site_label
_atom_site_type_symbol
_atom_site_fract_x
_atom_site_fract_y
_atom_site_fract_z
K1 K 0.250 0.250 0.205
Ge1 Ge 0.250 0.250 0.654
Pt1 Pt 0.250 0.250 0.894
Pt2 Pt 0.250 0.750 0.500



No. 5
# Li3Zr3TaS8 (PBE, relaxed)
# Formation energy (no corrections), eV per atom: -1.43
data_Li3Zr3TaS8
_chemical_formula_sum 'Li9 Zr9 Ta3 S24'
_space_group_name_H-M_alt 'R -3 m'
_space_group_IT_number 166
_space_group_name_Hall '-R 3 2"'
_cell_length_a 7.1213
_cell_length_b 7.1213
_cell_length_c 19.1165
_cell_angle_alpha 90.00
_cell_angle_beta 90.00
_cell_angle_gamma 120.00
loop_
_atom_site_label
_atom_site_type_symbol
_atom_site_fract_x
_atom_site_fract_y
_atom_site_fract_z
Li1 Li 0.0000 0.5000 0.0000
Zr1 Zr 0.0000 0.5000 0.5000
Ta1 Ta 0.0000 0.0000 0.5000
S1 S 0.0000 0.0000 0.2507
S2 S 0.0103 0.5052 0.2476



No. 6
# Pr8HC3Br4 (PBE, relaxed)
# Final energy, eV/atom: -5.57
data_Pr8HC3Br4
_chemical_formula_sum 'Pr24 H3 C9 Br12'
_space_group_name_H-M_alt 'R -3 m'
_space_group_IT_number 166
_space_group_name_Hall '-R 3 2"'
_cell_length_a 7.6820
_cell_length_b 7.6820
_cell_length_c 22.5702
_cell_angle_alpha 90.00
_cell_angle_beta 90.00
_cell_angle_gamma 120.00
loop_
_atom_site_label
_atom_site_type_symbol
_atom_site_fract_x
_atom_site_fract_y
_atom_site_fract_z
Pr1 Pr 0.0000 0.0000 0.2280
Pr2 Pr 0.0155 0.5077 0.7703
H1 H 0.0000 0.0000 0.5000
C1 C 0.0000 0.5000 0.5000
Br1 Br 0.0000 0.0000 0.0000
Br2 Br 0.0000 0.5000 0.0000